Entry 1:
Density functional theory data (PBE) for an optimized crystal structure of NdYNi.

CIF file:
```
data_NdYNi
_symmetry_space_group_name_H-M 'P -1'
_symmetry_Int_Tables_number 2
_cell_length_a 3.4644
_cell_length_b 6.7808
_cell_length_c 7.0214
_cell_angle_alpha 105.47
_cell_angle_beta 90.02
_cell_angle_gamma 104.76
loop_
_symmetry_equiv_pos_as_xyz
'x,y,z'
'-x,-y,-z'
loop_
_atom_site_label
_atom_site_type_symbol
_atom_site_fract_x
_atom_site_fract_y
_atom_site_fract_z
Nd1 Nd 0.1291 0.2572 0.0637
Y1 Y 0.1306 0.2616 0.5644
Ni1 Ni 0.4975 0.9945 0.2738
```

- volume (Å³/f.u.) = 77
- energy relative to the lowest polymorph listed for this composition (eV/atom) = 0.066
- E (eV/atom) = -5.849



Entry 2:
Density functional theory data (PBE) for an optimized crystal structure of NdYNi.

CIF file:
```
data_NdYNi
_symmetry_space_group_name_H-M 'C 1 2/m 1'
_symmetry_Int_Tables_number 12
_cell_length_a 12.2237
_cell_length_b 3.7610
_cell_length_c 8.2375
_cell_angle_alpha 90.00
_cell_angle_beta 126.31
_cell_angle_gamma 90.00
loop_
_symmetry_equiv_pos_as_xyz
'x,y,z'
'-x,-y,-z'
'-x,y,-z'
'x,-y,z'
'x+1/2,y+1/2,z'
'-x+1/2,-y+1/2,-z'
'-x+1/2,y+1/2,-z'
'x+1/2,-y+1/2,z'
loop_
_atom_site_label
_atom_site_type_symbol
_atom_site_fract_x
_atom_site_fract_y
_atom_site_fract_z
Nd1 Nd 0.1685 0.0000 0.0796
Y1 Y 0.0852 0.5000 0.3847
Ni1 Ni 0.1229 0.0000 0.6707
```

- volume (Å³/f.u.) = 76
- energy relative to the lowest polymorph listed for this composition (eV/atom) = 0.000
- E (eV/atom) = -5.915



Entry 3:
Density functional theory data (PBE) for an optimized crystal structure of NdY6Ni2.

CIF file:
```
data_NdY6Ni2
_symmetry_space_group_name_H-M 'I m m m'
_symmetry_Int_Tables_number 71
_symmetry_space_group_name_Hall '-I 2 2'
_cell_length_a 9.2869
_cell_length_b 10.2501
_cell_length_c 10.3252
_cell_angle_alpha 90.00
_cell_angle_beta 90.00
_cell_angle_gamma 90.00
loop_
_atom_site_label
_atom_site_type_symbol
_atom_site_fract_x
_atom_site_fract_y
_atom_site_fract_z
Nd1 Nd 0.0000 0.0000 0.0000
Nd2 Nd 0.0000 0.5000 0.0000
Y1 Y 0.0000 0.2198 0.2211
Y2 Y 0.1948 0.5000 0.3080
Y3 Y 0.1976 0.1893 0.5000
Ni1 Ni 0.0000 0.0000 0.3772
Ni2 Ni 0.0000 0.3816 0.5000
```

- volume (Å³/f.u.) = 246
- E (eV/atom) = -6.240



Repeat the first record exactly.
Density functional theory data (PBE) for an optimized crystal structure of NdYNi.

CIF file:
```
data_NdYNi
_symmetry_space_group_name_H-M 'P -1'
_symmetry_Int_Tables_number 2
_cell_length_a 3.4644
_cell_length_b 6.7808
_cell_length_c 7.0214
_cell_angle_alpha 105.47
_cell_angle_beta 90.02
_cell_angle_gamma 104.76
loop_
_symmetry_equiv_pos_as_xyz
'x,y,z'
'-x,-y,-z'
loop_
_atom_site_label
_atom_site_type_symbol
_atom_site_fract_x
_atom_site_fract_y
_atom_site_fract_z
Nd1 Nd 0.1291 0.2572 0.0637
Y1 Y 0.1306 0.2616 0.5644
Ni1 Ni 0.4975 0.9945 0.2738
```

- volume (Å³/f.u.) = 77
- energy relative to the lowest polymorph listed for this composition (eV/atom) = 0.066
- E (eV/atom) = -5.849



The highest E belongs to which entry?
number 1



The highest volume belongs to which entry?
NdY6Ni2



The highest E belongs to which entry?
number 1